(1)
A plane-wave DFT calculation with PBE-GGA was carried out for Eu2GeO after structural relaxation.

abc: 4.374 4.374 8.307
angles: 74.73 74.73 60.00
Each line ends with the local moment (μB).
Sites, in units of the cell vectors:
Eu 0.912 0.912 0.264  6.66
Eu 0.088 0.088 0.736  6.66
Ge 0.500 0.500 0.500  0.03
O 0.000 0.000 0.000  -0.12

Summary:
Uncorrected formation energy   -1122 meV per atom
Crystal system   trigonal
Size of the total moment   13.59 μB per formula unit

=====

(2)
A plane-wave DFT calculation with PBE-GGA was carried out for Eu4Ge2O after structural relaxation.

abc: 4.811 4.811 8.702
angles: 106.05 106.05 90.00
Each line ends with the local moment (μB).
Sites, in units of the cell vectors:
Eu 0.000 0.500 0.000  -6.71
Eu 0.500 0.000 0.000  -6.71
Eu 0.824 0.824 0.648  6.81
Eu 0.176 0.176 0.352  6.81
Ge 0.369 0.369 0.738  0.01
Ge 0.631 0.631 0.262  0.01
O 0.000 0.000 0.000  0.05

Summary:
Uncorrected formation energy   -1190 meV per atom
Crystal system   tetragonal
Size of the total moment   0.39 μB per formula unit

=====

Listing energy for the structures above in their given order: -8.654; -9.089 eV/atom.